Crystalline RbRhC3 at its relaxed geometry. Source: the Alexandria database, functional PBE.

The calculation puts the mass density at 4.78 g/cm3. As for the formation energy: 4.576 eV per atom. The final energy is -2.622 eV per atom. As for the polymorph energy (0 for the lowest one): 2396 meV/atom.

```
data_RbRhC3
_cell_length_a 4.2732
_cell_length_b 4.2732
_cell_length_c 4.2732
_cell_angle_alpha 90.00
_cell_angle_beta 90.00
_cell_angle_gamma 90.00
_space_group_name_H-M_alt 'P m -3 m'
_space_group_IT_number 221
_space_group_name_Hall '-P 4 2 3'
loop_
_atom_site_label
_atom_site_fract_x
_atom_site_fract_y
_atom_site_fract_z
Rb1 0.0000 0.0000 0.0000
Rh1 0.5000 0.5000 0.5000
C1 0.0000 0.0000 0.5000
```